A plane-wave DFT calculation with PBE with a Hubbard U was carried out for a geometry-optimized NpCdFe2O6 structure.

Calculated values
**M_tot**: 7.00 μB per formula unit
**Uncorrected energy**: -73.574 eV per cell

abc: 5.4923 5.5060 5.8290
angles: 63.31 63.19 60.21
With the nearest neighbours (Å) after each atom.
Fractional positions:
O  0.9302  0.5975  0.2389  1 Np 2.09, 2 Fe 2.12-2.23
O  0.2281  0.9337  0.2362  2 Fe 2.13-2.17, 1 Np 2.13
O  0.1260  0.3859  0.7758  1 Np 2.05, 1 Fe 2.14, 1 Cd 2.28
O  0.4011  0.7063  0.7476  1 Np 2.13, 2 Fe 2.13-2.19, 1 Cd 2.26
O  0.5770  0.2517  0.2504  1 Fe 2.05, 1 Np 2.07
O  0.7182  0.1183  0.7790  1 Fe 2.06, 1 Np 2.10, 1 Cd 2.23
Cd  0.8106  0.8105  0.5731  6 O 2.23-2.46
Np  0.3209  0.3232  0.0355  6 O 2.05-2.13
Fe  0.5243  0.5360  0.4201  4 O 2.05-2.19
Fe  0.0251  0.9985  0.9586  5 O 2.06-2.23